A geometry-optimized BeZn3 structure. Source: Alexandria via LeMat-Bulk, functional GGA-PBE.

abc: 4.546 4.546 2.810
angles: 90.00 90.00 112.54
Fractional coordinates of all 4 atoms:
Be  0.000  0.000  0.000
Zn  0.000  0.500  0.500
Zn  0.500  0.000  0.500
Zn  0.500  0.500  0.000

Properties
The value obtained for the energy of formation is 181 meV/atom.

A geometry-optimized Be2Zn structure. Source: Alexandria via LeMat-Bulk, functional GGA-PBE.

abc: 2.504 2.504 5.819
angles: 90.00 90.00 120.00
Fractional coordinates of all 3 atoms:
Be  0.333  0.667  0.353
Be  0.667  0.333  0.647
Zn  0.000  0.000  0.000

Properties
The value obtained for the energy of formation is 254 meV/atom. The excess energy over the best structure of this formula in the dataset is 192 meV/atom.

A geometry-optimized Be3Zn2 structure. Source: Alexandria via LeMat-Bulk, functional GGA-PBE.

abc: 3.835 3.835 4.664
angles: 90.00 90.00 120.00
Fractional coordinates of all 5 atoms:
Be  0.000  0.000  0.000
Be  0.333  0.667  0.361
Be  0.667  0.333  0.639
Zn  0.333  0.667  0.844
Zn  0.667  0.333  0.156

Properties
The value obtained for the energy of formation is 290 meV/atom. The excess energy over the best structure of this formula in the dataset is 99 meV/atom.

A geometry-optimized Be2Zn structure. Source: Alexandria via LeMat-Bulk, functional GGA-PBE.

abc: 5.395 5.395 5.395
angles: 153.49 153.49 37.85
Fractional coordinates of all 3 atoms:
Be  0.181  0.181  0.000
Be  0.819  0.819  0.000
Zn  0.500  0.500  0.000

Properties
The value obtained for the energy of formation is 203 meV/atom. The excess energy over the best structure of this formula in the dataset is 141 meV/atom.

A geometry-optimized Be2Zn3 structure. Source: Alexandria via LeMat-Bulk, functional GGA-PBE.

abc: 3.925 3.925 4.750
angles: 90.00 90.00 120.00
Fractional coordinates of all 5 atoms:
Be  0.333  0.667  0.375
Be  0.667  0.333  0.625
Zn  0.000  0.000  0.500
Zn  0.333  0.667  0.867
Zn  0.667  0.333  0.133

Properties
The value obtained for the energy of formation is 90 meV/atom. The excess energy over the best structure of this formula in the dataset is 0 meV/atom.

A geometry-optimized Be2Zn structure. Source: Alexandria via LeMat-Bulk, functional GGA-PBE.

abc: 4.400 4.400 14.332
angles: 90.00 90.00 120.00
Fractional coordinates of all 24 atoms:
Be  0.000  0.500  0.000
Be  0.000  0.500  0.500
Be  0.170  0.339  0.250
Be  0.170  0.830  0.250
Be  0.333  0.667  0.123
Be  0.333  0.667  0.377
Be  0.339  0.170  0.750
Be  0.500  0.000  0.000
Be  0.500  0.000  0.500
Be  0.500  0.500  0.000
Be  0.500  0.500  0.500
Be  0.661  0.830  0.250
Be  0.667  0.333  0.623
Be  0.667  0.333  0.877
Be  0.830  0.170  0.750
Be  0.830  0.661  0.750
Zn  0.000  0.000  0.095
Zn  0.000  0.000  0.405
Zn  0.000  0.000  0.595
Zn  0.000  0.000  0.905
Zn  0.333  0.667  0.656
Zn  0.333  0.667  0.844
Zn  0.667  0.333  0.156
Zn  0.667  0.333  0.344

Properties
The value obtained for the energy of formation is 62 meV/atom. The excess energy over the best structure of this formula in the dataset is 0 meV/atom.

A geometry-optimized Be3Zn2 structure. Source: Alexandria via LeMat-Bulk, functional GGA-PBE.

abc: 7.638 4.193 8.165
angles: 67.77 30.54 81.69
Fractional coordinates of all 10 atoms:
Be  0.000  0.000  0.000
Be  0.180  0.255  0.569
Be  0.250  0.250  0.250
Be  0.254  0.681  0.995
Be  0.255  0.180  0.996
Be  0.681  0.254  0.070
Zn  0.269  0.678  0.653
Zn  0.597  0.849  0.981
Zn  0.678  0.269  0.401
Zn  0.849  0.597  0.572

Properties
The value obtained for the energy of formation is 191 meV/atom. The excess energy over the best structure of this formula in the dataset is 0 meV/atom.

A geometry-optimized BeZn3 structure. Source: Alexandria via LeMat-Bulk, functional GGA-PBE.

abc: 2.733 2.733 7.101
angles: 90.00 90.00 90.00
Fractional coordinates of all 4 atoms:
Be  0.000  0.000  0.000
Zn  0.000  0.000  0.500
Zn  0.500  0.500  0.215
Zn  0.500  0.500  0.785

Properties
The value obtained for the energy of formation is 134 meV/atom.

| no. | D(E_F) (states/eV per atom) | VASP energy (Ry per atom) |
| --- | --- | --- |
| 1 | 0.251 | -0.1254 |
| 2 | 0.132 | -0.1951 |
| 3 | 0.375 | -0.1804 |
| 4 | 0.221 | -0.1989 |
| 5 | 0.263 | -0.1591 |
| 6 | 0.094 | -0.2092 |
| 7 | 0.093 | -0.1877 |
| 8 | 0.198 | -0.1289 |